CeSiGePd2, single point on PBEsol structure, DFT meta-GGA SCAN; raw formation energy = -0.92 eV/atom; D(E_F) = 4.29 states/eV/f.u.; size of the total moment = 0.7 μB/f.u.; crystal system = tetragonal
1.0
-2.084 2.084 5.046
2.084 -2.084 5.046
2.084 2.084 -5.046
Ce Si Ge Pd
1 1 1 2
direct
0.000 0.000 0.000 Ce
0.622 0.622 0.000 Si
0.386 0.386 0.000 Ge
0.245 0.745 0.500 Pd
0.745 0.245 0.500 Pd